(1)
Here is LiNdHg after structural relaxation from Alexandria. Energies are from PBE-GGA.

Formation energy from the elements in eV/atom: -0.316
Excess energy over the best structure of this formula in the dataset in meV per atom: 30.5
Space-group type: P-6m2

a = 4.938 Å, b = 4.938 Å, c = 3.445 Å
α = 90.00°, β = 90.00°, γ = 120.00°
Sites, in units of the cell vectors:
Li 0.000 0.000 0.000
Nd 0.667 0.333 0.500
Hg 0.333 0.667 0.000

=====

(2)
Here is Ba2Ag2Au after structural relaxation from Alexandria. Energies are from PBE-GGA.

Formation energy from the elements in eV/atom: -0.429
Excess energy over the best structure of this formula in the dataset in meV per atom: 0.0
Space-group type: C2/m

a = 6.561 Å, b = 6.561 Å, c = 12.817 Å
α = 116.18°, β = 116.18°, γ = 42.83°
Sites, in units of the cell vectors:
Ba 0.085 0.085 0.387
Ba 0.305 0.305 0.861
Ba 0.695 0.695 0.139
Ba 0.915 0.915 0.613
Ag 0.046 0.046 0.919
Ag 0.378 0.378 0.388
Ag 0.622 0.622 0.612
Ag 0.954 0.954 0.081
Au 0.419 0.419 0.182
Au 0.581 0.581 0.818

=====

(3)
Here is Mg4BeCr after structural relaxation from Alexandria. Energies are from PBE-GGA.

Formation energy from the elements in eV/atom: 0.632
Space-group type: F-43m

a = 5.552 Å, b = 5.552 Å, c = 5.552 Å
α = 60.00°, β = 60.00°, γ = 60.00°
Sites, in units of the cell vectors:
Mg 0.125 0.125 0.125
Mg 0.125 0.125 0.625
Mg 0.125 0.625 0.125
Mg 0.625 0.125 0.125
Be 0.750 0.750 0.750
Cr 0.500 0.500 0.500

=====

(4)
Here is Rb3SbI6 after structural relaxation from Alexandria. Energies are from PBE-GGA.

Excess energy over the best structure of this formula in the dataset in meV per atom: 0.0
Formation energy from raw total energies in eV per atom: -1.03
Space-group type: P2_1/c

a = 8.667 Å, b = 9.332 Å, c = 15.136 Å
α = 90.00°, β = 124.26°, γ = 90.00°
Sites, in units of the cell vectors:
Rb 0.000 0.000 0.000
Rb 0.000 0.500 0.500
Rb 0.213 0.086 0.747
Rb 0.213 0.414 0.247
Rb 0.787 0.586 0.753
Rb 0.787 0.914 0.253
Sb 0.500 0.000 0.500
Sb 0.500 0.500 0.000
I 0.156 0.172 0.443
I 0.156 0.328 0.943
I 0.268 0.724 0.428
I 0.268 0.776 0.928
I 0.405 0.049 0.275
I 0.405 0.451 0.775
I 0.595 0.549 0.225
I 0.595 0.951 0.725
I 0.732 0.224 0.072
I 0.732 0.276 0.572
I 0.844 0.672 0.057
I 0.844 0.828 0.557

=====

(5)
Here is Mg3ZrNi8 after structural relaxation from Alexandria. Energies are from PBE-GGA.

Formation energy from the elements in eV/atom: -0.305
Excess energy over the best structure of this formula in the dataset in meV per atom: 9.9
Space-group type: P3m1

a = 4.846 Å, b = 4.846 Å, c = 7.900 Å
α = 90.00°, β = 90.00°, γ = 120.00°
Sites, in units of the cell vectors:
Mg 0.000 0.000 0.000
Mg 0.000 0.000 0.367
Mg 0.333 0.667 0.890
Zr 0.333 0.667 0.512
Ni 0.004 0.502 0.192
Ni 0.329 0.165 0.689
Ni 0.498 0.502 0.192
Ni 0.498 0.996 0.192
Ni 0.667 0.333 0.440
Ni 0.667 0.333 0.940
Ni 0.835 0.165 0.689
Ni 0.835 0.671 0.689

=====

(6)
Here is Ce2FeH6Rh after structural relaxation from Alexandria. Energies are from PBE-GGA.

Total energy in eV/atom: -5.207
Space-group type: Fmmm

a = 5.191 Å, b = 5.186 Å, c = 5.127 Å
α = 60.44°, β = 60.34°, γ = 59.22°
Sites, in units of the cell vectors:
Ce 0.250 0.250 0.250
Ce 0.750 0.750 0.750
Fe 0.000 0.000 0.000
H 0.229 0.229 0.771
H 0.236 0.764 0.236
H 0.236 0.764 0.764
H 0.764 0.236 0.236
H 0.764 0.236 0.764
H 0.771 0.771 0.229
Rh 0.500 0.500 0.500